# 1
{"formula": "Li2LaEr2Si2", "functional": "PBE-GGA", "state": "optimized geometry", "formation_energy_uncorrected_ev_per_fu": -2.86, "n_ef_per_ev_cell": 3.815, "total_energy_ev_per_atom": -4.51, "magnetic_moment_mub_per_cell": 0.0, "crystal_system": "trigonal", "cell": [[2.258, 1.304, 8.868], [-2.258, 1.304, 8.868], [0.000, -2.608, 8.868]], "species": ["Li", "Li", "La", "Er", "Er", "Si", "Si"], "fractional_positions": [[0.088, 0.088, 0.088], [0.912, 0.912, 0.912], [0.500, 0.500, 0.500], [0.370, 0.370, 0.370], [0.630, 0.630, 0.630], [0.245, 0.245, 0.245], [0.755, 0.755, 0.755]]}


# 2
{"formula": "Li2La2ErSn2", "functional": "PBE-GGA", "state": "optimized geometry", "n_ef_per_ev_cell": 4.650, "total_energy_ev_per_atom": -4.23, "magnetic_moment_mub_per_cell": 0.0, "crystal_system": "trigonal", "ef_ev_per_atom": -0.4784, "cell": [[2.401, 1.386, 9.207], [-2.401, 1.386, 9.207], [0.000, -2.772, 9.207]], "species": ["Li", "Li", "La", "La", "Er", "Sn", "Sn"], "fractional_positions": [[0.108, 0.108, 0.108], [0.892, 0.892, 0.892], [0.370, 0.370, 0.370], [0.630, 0.630, 0.630], [0.500, 0.500, 0.500], [0.230, 0.230, 0.230], [0.770, 0.770, 0.770]]}


Repeat the first record exactly.
{"formula": "Li2LaEr2Si2", "functional": "PBE-GGA", "state": "optimized geometry", "formation_energy_uncorrected_ev_per_fu": -2.86, "n_ef_per_ev_cell": 3.815, "total_energy_ev_per_atom": -4.51, "magnetic_moment_mub_per_cell": 0.0, "crystal_system": "trigonal", "cell": [[2.258, 1.304, 8.868], [-2.258, 1.304, 8.868], [0.000, -2.608, 8.868]], "species": ["Li", "Li", "La", "Er", "Er", "Si", "Si"], "fractional_positions": [[0.088, 0.088, 0.088], [0.912, 0.912, 0.912], [0.500, 0.500, 0.500], [0.370, 0.370, 0.370], [0.630, 0.630, 0.630], [0.245, 0.245, 0.245], [0.755, 0.755, 0.755]]}


Repeat the second record exactly.
{"formula": "Li2La2ErSn2", "functional": "PBE-GGA", "state": "optimized geometry", "n_ef_per_ev_cell": 4.650, "total_energy_ev_per_atom": -4.23, "magnetic_moment_mub_per_cell": 0.0, "crystal_system": "trigonal", "ef_ev_per_atom": -0.4784, "cell": [[2.401, 1.386, 9.207], [-2.401, 1.386, 9.207], [0.000, -2.772, 9.207]], "species": ["Li", "Li", "La", "La", "Er", "Sn", "Sn"], "fractional_positions": [[0.108, 0.108, 0.108], [0.892, 0.892, 0.892], [0.370, 0.370, 0.370], [0.630, 0.630, 0.630], [0.500, 0.500, 0.500], [0.230, 0.230, 0.230], [0.770, 0.770, 0.770]]}